LiCoMo2: optimized geometry, GGA-PBE.

Space-group type: No. 12

abc: 4.884 4.884 2.611
angles: 97.02 97.02 116.42
Atoms (fractional coordinates):
Li  0.000  0.000  0.000
Co  0.500  0.500  0.000
Mo  0.000  0.500  0.500
Mo  0.500  0.000  0.500

***

LiCoMo2: optimized geometry, GGA-PBE.

Space-group type: No. 6

abc: 2.618 4.233 4.855
angles: 90.00 96.75 90.00
Atoms (fractional coordinates):
Li  0.000  0.000  0.000
Co  0.084  0.500  0.730
Mo  0.436  0.000  0.516
Mo  0.641  0.500  0.215

***

LiCoMo2: optimized geometry, GGA-PBE.

Space-group type: No. 119

abc: 4.687 4.687 4.687
angles: 132.93 132.93 68.76
Atoms (fractional coordinates):
Li  0.000  0.000  0.000
Co  0.750  0.250  0.500
Mo  0.250  0.750  0.500
Mo  0.500  0.500  0.000

***

LiCoMo2: optimized geometry, GGA-PBE.

Space-group type: No. 10

abc: 2.642 3.938 5.232
angles: 90.00 100.73 90.00
Atoms (fractional coordinates):
Li  0.000  0.000  0.000
Co  0.000  0.000  0.500
Mo  0.499  0.500  0.249
Mo  0.501  0.500  0.751

***

Li2CoMo: optimized geometry, GGA-PBE.

Space-group type: No. 99

abc: 2.898 2.898 7.071
angles: 90.00 90.00 90.00
Atoms (fractional coordinates):
Li  0.000  0.000  0.000
Li  0.500  0.500  0.290
Co  0.500  0.500  0.765
Mo  0.000  0.000  0.583

***

LiCoMo2: optimized geometry, GGA-PBE.

Space-group type: No. 123

abc: 3.246 3.246 5.201
angles: 90.00 90.00 90.00
Atoms (fractional coordinates):
Li  0.000  0.000  0.000
Co  0.000  0.000  0.500
Mo  0.500  0.500  0.270
Mo  0.500  0.500  0.730

***

Li2CoMo: optimized geometry, GGA-PBE.

Space-group type: No. 123

abc: 3.400 3.400 4.591
angles: 90.00 90.00 90.00
Atoms (fractional coordinates):
Li  0.000  0.500  0.000
Li  0.500  0.000  0.000
Co  0.000  0.000  0.500
Mo  0.500  0.500  0.500

***

LiCoMo2: optimized geometry, GGA-PBE.

Space-group type: No. 99

abc: 3.168 3.168 5.466
angles: 90.00 90.00 90.00
Atoms (fractional coordinates):
Li  0.000  0.000  0.000
Co  0.500  0.500  0.788
Mo  0.000  0.000  0.519
Mo  0.500  0.500  0.262

***

Li2CoMo: optimized geometry, GGA-PBE.

Space-group type: No. 225

abc: 4.089 4.089 4.089
angles: 60.00 60.00 60.00
Atoms (fractional coordinates):
Li  0.250  0.250  0.250
Li  0.750  0.750  0.750
Co  0.000  0.000  0.000
Mo  0.500  0.500  0.500

***

LiCoMo2: optimized geometry, GGA-PBE.

Space-group type: No. 35

abc: 2.631 2.631 8.796
angles: 90.00 90.00 107.55
Atoms (fractional coordinates):
Li  0.000  0.000  0.000
Co  0.500  0.500  0.236
Mo  0.000  0.000  0.466
Mo  0.500  0.500  0.726

***

| no. | formation energy (eV/atom) | raw total energy (eV per atom) | distance to the lowest polymorph of the same formula (eV/atom) |
| --- | --- | --- | --- |
| 1 | 0.31 | -7.36 | 0.0774 |
| 2 | 0.25 | -7.42 | 0.0194 |
| 3 | 0.41 | -7.26 | 0.1732 |
| 4 | 0.30 | -7.37 | 0.0642 |
| 5 | 0.25 | -5.20 | 0.0108 |
| 6 | 0.43 | -7.24 | 0.1993 |
| 7 | 0.35 | -5.09 | 0.1131 |
| 8 | 0.35 | -7.32 | 0.1136 |
| 9 | 0.81 | -4.63 | 0.5710 |
| 10 | 0.23 | -7.44 | 0.0000 |